[1]
Density functional theory data (PBE-GGA) for an optimized crystal structure of RbNaCuHg2.

Computed properties:
Electronic total energy ... -1.44 eV/atom
Fermi-level density of states ... 0.403 states/eV/atom
V ... 154.1 Å³ per cell
Energy of formation ... -0.044 eV per atom
Crystal system ... tetragonal

a = 5.2602 Å, b = 5.2602 Å, c = 5.5687 Å
α = 90.00°, β = 90.00°, γ = 90.00°
Closest atoms and distances in Å follow each position.
Fractional positions:
Rb1 0.5000 0.5000 0.5000  4 Na 3.72, 8 Hg 3.83
Na1 0.0000 0.0000 0.5000  2 Cu 2.78
Hg1 0.5000 0.0000 0.0000  2 Cu 2.63
Hg2 0.0000 0.5000 0.0000  2 Cu 2.63
Cu1 0.0000 0.0000 0.0000  4 Hg 2.63, 2 Na 2.78


[2]
Density functional theory data (PBE-GGA) for an optimized crystal structure of TaINO2.

Computed properties:
Electronic total energy ... -4.94 eV/atom
Fermi-level density of states ... 0.827 states/eV/atom
V ... 64.6 Å³ per cell
ΔE_f (raw) ... 1387.1 meV per atom
Crystal system ... tetragonal

a = 3.9269 Å, b = 3.9269 Å, c = 4.1861 Å
α = 90.00°, β = 90.00°, γ = 90.00°
Closest atoms and distances in Å follow each position.
Fractional positions:
O1 0.0000 0.5000 0.0000  2 N 1.96
O2 0.5000 0.0000 0.0000  2 N 1.96
N1 0.0000 0.0000 0.0000  4 O 1.96, 2 I 2.09
Ta1 0.5000 0.5000 0.5000  4 I 2.78, 8 O 2.87
I1 0.0000 0.0000 0.5000  2 N 2.09


[3]
Density functional theory data (PBE-GGA) for an optimized crystal structure of UPa2Be.

Computed properties:
Electronic total energy ... -8.11 eV/atom
Fermi-level density of states ... 1.632 states/eV/atom
V ... 81.1 Å³ per cell
Energy of formation ... 0.396 eV per atom
Crystal system ... trigonal

a = 2.9959 Å, b = 2.9959 Å, c = 10.5744 Å
α = 81.86°, β = 81.86°, γ = 60.00°
Closest atoms and distances in Å follow each position.
Fractional positions:
Pa1 0.0929 0.0929 0.7214  3 Be 2.89, 1 U 2.91, 6 Pa 3.00
Pa2 0.9071 0.9071 0.2786  3 Be 2.89, 1 U 2.91, 6 Pa 3.00
Be1 0.5000 0.5000 0.5000  6 Pa 2.89, 6 Be 3.00
U1 0.0000 0.0000 0.0000  2 Pa 2.91, 6 U 3.00


[4]
Density functional theory data (PBE-GGA) for an optimized crystal structure of Pr2TmIn3Te6.

Computed properties:
Electronic total energy ... -4.40 eV/atom
Fermi-level density of states ... 0.082 states/eV/atom
V ... 426.1 Å³ per cell
ΔE_f (raw) ... -973.6 meV per atom
Crystal system ... monoclinic

a = 7.7882 Å, b = 7.7882 Å, c = 8.5147 Å
α = 98.79°, β = 98.79°, γ = 119.96°
Closest atoms and distances in Å follow each position.
Fractional positions:
In1 0.5000 0.5000 0.5000  6 Te 3.40-3.49
In2 0.1699 0.8301 0.5000  6 Te 3.40-3.48
In3 0.8301 0.1699 0.5000  6 Te 3.40-3.48
Te1 0.0741 0.3954 0.2226  1 Tm 3.08, 2 Pr 3.20-3.21, 2 In 3.40
Te2 0.7544 0.7544 0.2263  1 Tm 3.10, 2 Pr 3.21, 2 In 3.41
Te3 0.3954 0.0741 0.2226  1 Tm 3.08, 2 Pr 3.20-3.21, 2 In 3.40
Te4 0.9259 0.6046 0.7774  1 Tm 3.08, 2 Pr 3.20-3.21, 2 In 3.40
Te5 0.6046 0.9259 0.7774  1 Tm 3.08, 2 Pr 3.20-3.21, 2 In 3.40
Te6 0.2456 0.2456 0.7737  1 Tm 3.10, 2 Pr 3.21, 2 In 3.41
Tm1 0.0000 0.0000 0.0000  6 Te 3.08-3.10
Pr1 0.3338 0.6662 0.0000  6 Te 3.20-3.21
Pr2 0.6662 0.3338 0.0000  6 Te 3.20-3.21


[5]
Density functional theory data (PBE-GGA) for an optimized crystal structure of Rb3Si5O12.

Computed properties:
Electronic total energy ... -6.48 eV/atom
Fermi-level density of states ... 0.818 states/eV/atom
V ... 926.9 Å³ per cell
ΔE_f (raw) ... -2009.0 meV per atom
Crystal system ... cubic

a = 10.6387 Å, b = 10.6387 Å, c = 10.6387 Å
α = 109.47°, β = 109.47°, γ = 109.47°
Closest atoms and distances in Å follow each position.
Fractional positions:
O1 0.9208 0.1100 0.5959  1 Si 1.68
O2 0.3250 0.9041 0.0142  1 Si 1.68
O3 0.3108 0.4858 0.3900  1 Si 1.68
O4 0.6892 0.1750 0.5792  1 Si 1.68
O5 0.9858 0.5959 0.6750  1 Si 1.68
O6 0.5959 0.9858 0.1750  1 Si 1.68
O7 0.8108 0.9208 0.3250  1 Si 1.68
O8 0.4208 0.3250 0.3108  1 Si 1.68
O9 0.1750 0.4858 0.5959  1 Si 1.68
O10 0.0142 0.4041 0.3250  1 Si 1.68
O11 0.8250 0.3108 0.9208  1 Si 1.68
O12 0.9858 0.3900 0.8108  1 Si 1.68
O13 0.5142 0.6892 0.1100  1 Si 1.68
O14 0.3250 0.4208 0.8108  1 Si 1.68
O15 0.5142 0.8250 0.9041  1 Si 1.68
O16 0.6750 0.5792 0.1892  1 Si 1.68
O17 0.4041 0.0142 0.8250  1 Si 1.68
O18 0.4858 0.1750 0.0959  1 Si 1.68
O19 0.3900 0.9858 0.3108  1 Si 1.68
O20 0.8108 0.8900 0.9858  1 Si 1.68
O21 0.6100 0.0142 0.6892  1 Si 1.68
O22 0.5959 0.6100 0.9208  1 Si 1.68
O23 0.6750 0.0959 0.9858  1 Si 1.68
O24 0.4208 0.0959 0.6100  1 Si 1.68
O25 0.1100 0.9208 0.0959  1 Si 1.68
O26 0.8250 0.5142 0.4041  1 Si 1.68
O27 0.6100 0.5959 0.4208  1 Si 1.68
O28 0.0792 0.8900 0.4041  1 Si 1.68
O29 0.4858 0.3108 0.8900  1 Si 1.68
O30 0.9041 0.5792 0.8900  1 Si 1.68
O31 0.0792 0.1892 0.1750  1 Si 1.68
O32 0.0142 0.6100 0.1892  1 Si 1.68
O33 0.5792 0.6750 0.6892  1 Si 1.68
O34 0.8900 0.8108 0.4858  1 Si 1.68
O35 0.0959 0.6750 0.4858  1 Si 1.68
O36 0.1892 0.1100 0.0142  1 Si 1.68
O37 0.1100 0.1892 0.5142  1 Si 1.68
O38 0.3108 0.8250 0.4208  1 Si 1.68
O39 0.8900 0.0792 0.9041  1 Si 1.68
O40 0.6892 0.5142 0.6100  1 Si 1.68
O41 0.3900 0.4041 0.5792  1 Si 1.68
O42 0.5792 0.9041 0.3900  1 Si 1.68
O43 0.0959 0.4208 0.1100  1 Si 1.68
O44 0.1892 0.0792 0.6750  1 Si 1.68
O45 0.9041 0.3250 0.5142  1 Si 1.68
O46 0.1750 0.6892 0.0792  1 Si 1.68
O47 0.9208 0.8108 0.8250  1 Si 1.68
O48 0.4041 0.3900 0.0792  1 Si 1.68
Si1 0.8750 0.2500 0.6250  4 O 1.68
Si2 0.6250 0.7500 0.8750  4 O 1.68
Si3 0.5000 0.5000 0.0000  6 O 1.89
Si4 0.2500 0.3750 0.6250  4 O 1.68
Si5 0.7500 0.1250 0.8750  4 O 1.68
Si6 0.0000 0.5000 0.0000  6 O 1.89
Si7 0.0000 0.5000 0.5000  6 O 1.89
Si8 0.7500 0.6250 0.3750  4 O 1.68
Si9 0.5000 0.5000 0.5000  6 O 1.89
Si10 0.3750 0.2500 0.1250  4 O 1.68
Si11 0.2500 0.8750 0.1250  4 O 1.68
Si12 0.0000 0.0000 0.5000  6 O 1.89
Si13 0.5000 0.0000 0.0000  6 O 1.89
Si14 0.5000 0.0000 0.5000  6 O 1.89
Si15 0.6250 0.8750 0.2500  4 O 1.68
Si16 0.1250 0.7500 0.3750  4 O 1.68
Si17 0.8750 0.6250 0.7500  4 O 1.68
Si18 0.0000 0.0000 0.0000  6 O 1.89
Si19 0.1250 0.3750 0.2500  4 O 1.68
Si20 0.3750 0.1250 0.7500  4 O 1.68
Rb1 0.7500 0.8750 0.6250  8 O 2.52-2.74
Rb2 0.8750 0.1250 0.2500  8 O 2.52-2.74
Rb3 0.7500 0.3750 0.1250  8 O 2.52-2.74
Rb4 0.2500 0.1250 0.3750  8 O 2.52-2.74
Rb5 0.1250 0.2500 0.8750  8 O 2.52-2.74
Rb6 0.1250 0.8750 0.7500  8 O 2.52-2.74
Rb7 0.8750 0.7500 0.1250  8 O 2.52-2.74
Rb8 0.6250 0.2500 0.3750  8 O 2.52-2.74
Rb9 0.3750 0.7500 0.6250  8 O 2.52-2.74
Rb10 0.3750 0.6250 0.2500  8 O 2.52-2.74
Rb11 0.6250 0.3750 0.7500  8 O 2.52-2.74
Rb12 0.2500 0.6250 0.8750  8 O 2.52-2.74


[6]
Density functional theory data (PBE-GGA) for an optimized crystal structure of FeReSi2Sn.

Computed properties:
Electronic total energy ... -4.95 eV/atom
Fermi-level density of states ... 0.851 states/eV/atom
V ... 115.7 Å³ per cell
ΔE_f (raw) ... 2202.4 meV per atom
Crystal system ... tetragonal

a = 4.9607 Å, b = 4.7008 Å, c = 4.9607 Å
α = 90.00°, β = 90.00°, γ = 90.00°
Closest atoms and distances in Å follow each position.
Fractional positions:
Sn1 0.0000 0.0000 0.0000  2 Fe 2.35, 4 Si 2.48
Re1 0.5000 0.5000 0.5000  8 Si 3.42, 4 Fe 3.51
Fe1 0.0000 0.5000 0.0000  2 Sn 2.35
Si1 0.5000 0.0000 0.0000  2 Sn 2.48
Si2 0.0000 0.0000 0.5000  2 Sn 2.48


[7]
Density functional theory data (PBE-GGA) for an optimized crystal structure of HfCd3N.

Computed properties:
Electronic total energy ... -2.12 eV/atom
Fermi-level density of states ... 2.087 states/eV/atom
V ... 177.3 Å³ per cell
ΔE_f (raw) ... 2080.8 meV per atom
Crystal system ... cubic

a = 5.6173 Å, b = 5.6173 Å, c = 5.6173 Å
α = 90.00°, β = 90.00°, γ = 90.00°
Closest atoms and distances in Å follow each position.
Fractional positions:
Cd1 0.0000 0.5000 0.0000  2 Hf 2.81
Cd2 0.5000 0.0000 0.0000  2 Hf 2.81
Cd3 0.0000 0.0000 0.5000  2 Hf 2.81
N1 0.5000 0.5000 0.5000  12 Cd 3.97
Hf1 0.0000 0.0000 0.0000  6 Cd 2.81


[8]
Density functional theory data (PBE-GGA) for an optimized crystal structure of Cs5Tm2Cl12.

Computed properties:
Electronic total energy ... -3.85 eV/atom
V ... 819.9 Å³ per cell
ΔE_f (raw) ... -1983.9 meV per atom
Crystal system ... monoclinic

a = 10.7582 Å, b = 10.0356 Å, c = 10.0356 Å
α = 68.98°, β = 61.14°, γ = 61.14°
Closest atoms and distances in Å follow each position.
Fractional positions:
Cs1 0.5000 0.0000 0.0000  4 Cl 3.54
Cs2 0.9886 0.7371 0.7371  6 Cl 3.23-3.60
Cs3 0.5525 0.6664 0.6664  5 Cl 3.37-3.62
Cs4 0.4475 0.3336 0.3336  5 Cl 3.37-3.62
Cs5 0.0114 0.2629 0.2629  6 Cl 3.23-3.60
Cl1 0.1765 0.5301 0.1700  1 Tm 2.58
Cl2 0.1967 0.8653 0.2228  1 Tm 2.61
Cl3 0.1967 0.2228 0.8653  1 Tm 2.61
Cl4 0.8235 0.8300 0.4699  1 Tm 2.58
Cl5 0.8235 0.4699 0.8300  1 Tm 2.58
Cl6 0.8490 0.1248 0.1248  2 Tm 2.71
Cl7 0.3543 0.5671 0.5671  1 Cl 2.57
Cl8 0.8033 0.7772 0.1347  1 Tm 2.61
Cl9 0.1510 0.8752 0.8752  2 Tm 2.71
Cl10 0.6457 0.4329 0.4329  1 Cl 2.57
Cl11 0.8033 0.1347 0.7772  1 Tm 2.61
Cl12 0.1765 0.1700 0.5301  1 Tm 2.58
Tm1 0.0000 0.1838 0.8162  6 Cl 2.58-2.71
Tm2 0.0000 0.8162 0.1838  6 Cl 2.58-2.71


[9]
Density functional theory data (PBE-GGA) for an optimized crystal structure of PuGaFe4.

Computed properties:
Electronic total energy ... -8.42 eV/atom
Fermi-level density of states ... 2.707 states/eV/atom
V ... 84.4 Å³ per cell
Energy of formation ... 0.115 eV per atom
Crystal system ... cubic

a = 4.9228 Å, b = 4.9228 Å, c = 4.9228 Å
α = 60.00°, β = 60.00°, γ = 60.00°
Closest atoms and distances in Å follow each position.
Fractional positions:
Fe1 0.6255 0.6255 0.6255  6 Fe 2.45-2.47
Fe2 0.6255 0.6255 0.1236  6 Fe 2.45-2.47
Fe3 0.6255 0.1236 0.6255  6 Fe 2.45-2.47
Fe4 0.1236 0.6255 0.6255  6 Fe 2.45-2.47
Pu1 0.2500 0.2500 0.2500  12 Fe 2.89, 4 Ga 3.01
Ga1 0.0000 0.0000 0.0000  12 Fe 2.89, 4 Pu 3.01


[10]
Density functional theory data (PBE-GGA) for an optimized crystal structure of CoMoOs2.

Computed properties:
Electronic total energy ... -9.97 eV/atom
Fermi-level density of states ... 1.244 states/eV/atom
V ... 55.7 Å³ per cell
Energy of formation ... 0.134 eV per atom
Crystal system ... orthorhombic

a = 3.7695 Å, b = 2.7120 Å, c = 6.0897 Å
α = 63.55°, β = 90.00°, γ = 90.00°
Closest atoms and distances in Å follow each position.
Fractional positions:
Os1 0.0000 0.5176 0.4824  3 Os 2.53-2.71, 4 Co 2.64-2.65, 4 Mo 2.74
Os2 0.0000 0.9824 0.0176  3 Os 2.53-2.71, 4 Co 2.64-2.65, 4 Mo 2.74
Co1 0.5000 0.2500 0.2500  8 Os 2.64-2.65, 2 Co 2.71, 2 Mo 2.73
Mo1 0.5000 0.7500 0.7500  2 Mo 2.71, 2 Co 2.73, 8 Os 2.74


[11]
Density functional theory data (PBE-GGA) for an optimized crystal structure of TmTh2Ga.

Computed properties:
Electronic total energy ... -5.36 eV/atom
Fermi-level density of states ... 1.249 states/eV/atom
V ... 123.6 Å³ per cell
Energy of formation ... 0.228 eV per atom
Crystal system ... trigonal

a = 3.4498 Å, b = 3.4498 Å, c = 12.1563 Å
α = 81.84°, β = 81.84°, γ = 60.00°
Closest atoms and distances in Å follow each position.
Fractional positions:
Ga1 0.0000 0.0000 0.0000  2 Th 3.08
Th1 0.0856 0.0856 0.7433  1 Ga 3.08
Th2 0.9144 0.9144 0.2567  1 Ga 3.08
Tm1 0.5000 0.5000 0.5000  6 Tm 3.45, 6 Th 3.53


Among the records above, which one has the highest electronic total energy?
RbNaCuHg2


electronic total energy of number 3 (UPa2Be)?
-8.11 eV/atom